Compound: BaGaF3
Source: Alexandria
Functional: PBE-GGA
Structure: optimized geometry

Unit cell a=4.5863 b=4.5863 c=4.5863 alpha=90.00 beta=90.00 gamma=90.00
Last column: nearest neighbours and their distance in Å.
Sites, in units of the cell vectors:
Ba (0.5000, 0.5000, 0.5000)  12 F 3.24
Ga (0.0000, 0.0000, 0.0000)  6 F 2.29
F (0.0000, 0.5000, 0.0000)  2 Ga 2.29
F (0.0000, 0.0000, 0.5000)  2 Ga 2.29
F (0.5000, 0.0000, 0.0000)  2 Ga 2.29

Uncorrected formation energy in eV per atom: -2.568
Total moment in μB/cell: 0.00
Energy above the lowest structure with this stoichiometry in eV per formula unit: 0.17